PBE-GGA SmSiO, relaxed; theoretical density = 4.83 g cm⁻³; energy = -6.565 eV per atom; M_tot = 0.00 μB per formula unit; symmetry = Amm2; raw formation energy = -148 kJ/mol of atoms
1.0
-1.624 3.375 0.431
-1.280 -3.087 2.863
6.545 2.439 5.556
O Sm Si
2 2 2
Direct
0.693 0.386 0.345
0.693 0.386 0.655
0.141 0.282 0.209
0.141 0.282 0.791
0.567 0.134 0.500
0.432 0.864 0.000